(1)
# KNdAu (PBE-GGA, relaxed)
data_KNdAu
_chemical_formula_sum 'K1 Nd1 Au1'
_cell_length_a 5.060
_cell_length_b 5.060
_cell_length_c 5.060
_cell_angle_alpha 60.00
_cell_angle_beta 60.00
_cell_angle_gamma 60.00
_symmetry_space_group_name_H-M 'P 1'
_symmetry_Int_Tables_number 1
loop_
_symmetry_equiv_pos_as_xyz
'x,y,z'
loop_
_atom_site_label
_atom_site_fract_x
_atom_site_fract_y
_atom_site_fract_z
Au1 0.500 0.500 0.500
K1 0.250 0.250 0.250
Nd1 0.000 0.000 0.000
# Space group = F-43m
# Total energy = -2.51 eV/atom



(2)
# KNdTe4Au3 (PBE-GGA, relaxed)
data_KNdTe4Au3
_chemical_formula_sum 'K1 Nd1 Te4 Au3'
_cell_length_a 6.964
_cell_length_b 6.964
_cell_length_c 6.964
_cell_angle_alpha 90.00
_cell_angle_beta 90.00
_cell_angle_gamma 90.00
_symmetry_space_group_name_H-M 'P 1'
_symmetry_Int_Tables_number 1
loop_
_symmetry_equiv_pos_as_xyz
'x,y,z'
loop_
_atom_site_label
_atom_site_fract_x
_atom_site_fract_y
_atom_site_fract_z
Au1 0.500 0.500 0.000
Au2 0.500 0.000 0.500
Au3 0.000 0.500 0.500
K1 0.000 0.000 0.000
Nd1 0.500 0.500 0.500
Te1 0.260 0.260 0.260
Te2 0.740 0.740 0.260
Te3 0.740 0.260 0.740
Te4 0.260 0.740 0.740
# Space group = P-43m
# Total energy = -3.57 eV/atom



(3)
# KNdTe3Au (PBE-GGA, relaxed)
data_KNdTe3Au
_chemical_formula_sum 'K2 Nd2 Te6 Au2'
_cell_length_a 8.581
_cell_length_b 8.581
_cell_length_c 11.532
_cell_angle_alpha 90.00
_cell_angle_beta 90.00
_cell_angle_gamma 150.65
_symmetry_space_group_name_H-M 'P 1'
_symmetry_Int_Tables_number 1
loop_
_symmetry_equiv_pos_as_xyz
'x,y,z'
loop_
_atom_site_label
_atom_site_fract_x
_atom_site_fract_y
_atom_site_fract_z
Au1 0.030 0.970 0.250
Au2 0.970 0.030 0.750
K1 0.743 0.257 0.250
K2 0.257 0.743 0.750
Nd1 0.500 0.500 0.000
Nd2 0.500 0.500 0.500
Te1 0.133 0.867 0.061
Te2 0.421 0.579 0.250
Te3 0.133 0.867 0.439
Te4 0.867 0.133 0.561
Te5 0.579 0.421 0.750
Te6 0.867 0.133 0.939
# Space group = Cmcm
# Total energy = -4.02 eV/atom



(4)
# KNiTe2AuS (PBE-GGA, relaxed)
data_KNiTe2AuS
_chemical_formula_sum 'K2 Ni2 Te4 Au2 S2'
_cell_length_a 7.173
_cell_length_b 7.173
_cell_length_c 11.332
_cell_angle_alpha 90.00
_cell_angle_beta 90.00
_cell_angle_gamma 147.32
_symmetry_space_group_name_H-M 'P 1'
_symmetry_Int_Tables_number 1
loop_
_symmetry_equiv_pos_as_xyz
'x,y,z'
loop_
_atom_site_label
_atom_site_fract_x
_atom_site_fract_y
_atom_site_fract_z
Au1 0.427 0.573 0.250
Au2 0.573 0.427 0.750
K1 0.726 0.274 0.250
K2 0.274 0.726 0.750
Ni1 0.000 0.000 0.000
Ni2 0.000 0.000 0.500
S1 0.036 0.964 0.250
S2 0.964 0.036 0.750
Te1 0.384 0.616 0.022
Te2 0.384 0.616 0.478
Te3 0.616 0.384 0.522
Te4 0.616 0.384 0.978
# Space group = Cmcm
# Total energy = -3.58 eV/atom



(5)
# KNiAuSe3 (PBE-GGA, relaxed)
data_KNiAuSe3
_chemical_formula_sum 'K2 Ni2 Au2 Se6'
_cell_length_a 8.274
_cell_length_b 8.274
_cell_length_c 10.288
_cell_angle_alpha 90.00
_cell_angle_beta 90.00
_cell_angle_gamma 155.13
_symmetry_space_group_name_H-M 'P 1'
_symmetry_Int_Tables_number 1
loop_
_symmetry_equiv_pos_as_xyz
'x,y,z'
loop_
_atom_site_label
_atom_site_fract_x
_atom_site_fract_y
_atom_site_fract_z
Au1 0.392 0.608 0.250
Au2 0.608 0.392 0.750
K1 0.721 0.279 0.250
K2 0.279 0.721 0.750
Ni1 0.000 0.000 0.000
Ni2 0.000 0.000 0.500
Se1 0.400 0.600 0.012
Se2 0.044 0.956 0.250
Se3 0.400 0.600 0.488
Se4 0.600 0.400 0.512
Se5 0.956 0.044 0.750
Se6 0.600 0.400 0.988
# Space group = Cmcm
# Total energy = -3.70 eV/atom



(6)
# KNiTe2AuSe (PBE-GGA, relaxed)
data_KNiTe2AuSe
_chemical_formula_sum 'K2 Ni2 Te4 Au2 Se2'
_cell_length_a 7.991
_cell_length_b 7.991
_cell_length_c 10.905
_cell_angle_alpha 90.00
_cell_angle_beta 90.00
_cell_angle_gamma 151.71
_symmetry_space_group_name_H-M 'P 1'
_symmetry_Int_Tables_number 1
loop_
_symmetry_equiv_pos_as_xyz
'x,y,z'
loop_
_atom_site_label
_atom_site_fract_x
_atom_site_fract_y
_atom_site_fract_z
Au1 0.581 0.419 0.250
Au2 0.419 0.581 0.750
K1 0.261 0.739 0.250
K2 0.739 0.261 0.750
Ni1 0.000 0.000 0.000
Ni2 0.000 0.000 0.500
Se1 0.955 0.045 0.250
Se2 0.045 0.955 0.750
Te1 0.608 0.392 0.011
Te2 0.608 0.392 0.489
Te3 0.392 0.608 0.511
Te4 0.392 0.608 0.989
# Space group = Cmcm
# Total energy = -3.52 eV/atom



(7)
# KNiTe3Au (PBE-GGA, relaxed)
data_KNiTe3Au
_chemical_formula_sum 'K2 Ni2 Te6 Au2'
_cell_length_a 8.311
_cell_length_b 8.311
_cell_length_c 11.100
_cell_angle_alpha 90.00
_cell_angle_beta 90.00
_cell_angle_gamma 26.85
_symmetry_space_group_name_H-M 'P 1'
_symmetry_Int_Tables_number 1
loop_
_symmetry_equiv_pos_as_xyz
'x,y,z'
loop_
_atom_site_label
_atom_site_fract_x
_atom_site_fract_y
_atom_site_fract_z
Au1 0.587 0.587 0.250
Au2 0.413 0.413 0.750
K1 0.255 0.255 0.250
K2 0.745 0.745 0.750
Ni1 0.000 0.000 0.000
Ni2 0.000 0.000 0.500
Te1 0.607 0.607 0.012
Te2 0.949 0.949 0.250
Te3 0.607 0.607 0.488
Te4 0.393 0.393 0.512
Te5 0.051 0.051 0.750
Te6 0.393 0.393 0.988
# Space group = Cmcm
# Total energy = -3.49 eV/atom



(8)
# KNpAuSe3 (PBE-GGA, relaxed)
data_KNpAuSe3
_chemical_formula_sum 'K2 Np2 Au2 Se6'
_cell_length_a 7.737
_cell_length_b 7.737
_cell_length_c 10.719
_cell_angle_alpha 90.00
_cell_angle_beta 90.00
_cell_angle_gamma 148.49
_symmetry_space_group_name_H-M 'P 1'
_symmetry_Int_Tables_number 1
loop_
_symmetry_equiv_pos_as_xyz
'x,y,z'
loop_
_atom_site_label
_atom_site_fract_x
_atom_site_fract_y
_atom_site_fract_z
Au1 0.041 0.959 0.250
Au2 0.959 0.041 0.750
K1 0.749 0.251 0.250
K2 0.251 0.749 0.750
Np1 0.500 0.500 0.000
Np2 0.500 0.500 0.500
Se1 0.128 0.872 0.042
Se2 0.429 0.571 0.250
Se3 0.128 0.872 0.458
Se4 0.872 0.128 0.542
Se5 0.571 0.429 0.750
Se6 0.872 0.128 0.958
# Space group = Cmcm
# Total energy = -5.58 eV/atom



(9)
# KNpTe3Au (PBE-GGA, relaxed)
data_KNpTe3Au
_chemical_formula_sum 'K2 Np2 Te6 Au2'
_cell_length_a 8.233
_cell_length_b 8.233
_cell_length_c 11.377
_cell_angle_alpha 90.00
_cell_angle_beta 90.00
_cell_angle_gamma 148.86
_symmetry_space_group_name_H-M 'P 1'
_symmetry_Int_Tables_number 1
loop_
_symmetry_equiv_pos_as_xyz
'x,y,z'
loop_
_atom_site_label
_atom_site_fract_x
_atom_site_fract_y
_atom_site_fract_z
Au1 0.463 0.537 0.250
Au2 0.537 0.463 0.750
K1 0.757 0.243 0.250
K2 0.243 0.757 0.750
Np1 0.000 0.000 0.000
Np2 0.000 0.000 0.500
Te1 0.368 0.632 0.047
Te2 0.073 0.927 0.250
Te3 0.368 0.632 0.453
Te4 0.632 0.368 0.547
Te5 0.927 0.073 0.750
Te6 0.632 0.368 0.953
# Space group = Cmcm
# Total energy = -5.15 eV/atom



(10)
# K3AuO (PBE-GGA, relaxed)
data_K3AuO
_chemical_formula_sum 'K3 Au1 O1'
_cell_length_a 5.231
_cell_length_b 5.278
_cell_length_c 5.285
_cell_angle_alpha 90.00
_cell_angle_beta 90.00
_cell_angle_gamma 90.00
_symmetry_space_group_name_H-M 'P 1'
_symmetry_Int_Tables_number 1
loop_
_symmetry_equiv_pos_as_xyz
'x,y,z'
loop_
_atom_site_label
_atom_site_fract_x
_atom_site_fract_y
_atom_site_fract_z
Au1 0.000 0.000 0.000
K1 0.500 0.500 0.000
K2 0.500 0.000 0.500
K3 0.000 0.500 0.500
O1 0.500 0.500 0.500
# Space group = P4/mmm
# Total energy = -3.06 eV/atom



(11)
# K6Au2O (PBE-GGA, relaxed)
data_K6Au2O
_chemical_formula_sum 'K12 Au4 O2'
_cell_length_a 7.583
_cell_length_b 8.274
_cell_length_c 13.035
_cell_angle_alpha 90.00
_cell_angle_beta 124.27
_cell_angle_gamma 90.00
_symmetry_space_group_name_H-M 'P 1'
_symmetry_Int_Tables_number 1
loop_
_symmetry_equiv_pos_as_xyz
'x,y,z'
loop_
_atom_site_label
_atom_site_fract_x
_atom_site_fract_y
_atom_site_fract_z
Au1 0.718 0.583 0.250
Au2 0.282 0.083 0.250
Au3 0.718 0.917 0.750
Au4 0.282 0.417 0.750
K1 0.328 0.334 0.043
K2 0.207 0.777 0.046
K3 0.146 0.478 0.234
K4 0.854 0.978 0.266
K5 0.793 0.277 0.454
K6 0.672 0.834 0.457
K7 0.328 0.166 0.543
K8 0.207 0.723 0.546
K9 0.146 0.022 0.734
K10 0.854 0.522 0.766
K11 0.793 0.223 0.954
K12 0.672 0.666 0.957
O1 0.000 0.500 0.000
O2 0.000 0.000 0.500
# Space group = P2_1/c
# Total energy = -2.51 eV/atom



(12)
# K3AuO (PBE-GGA, relaxed)
data_K3AuO
_chemical_formula_sum 'K6 Au2 O2'
_cell_length_a 7.462
_cell_length_b 7.462
_cell_length_c 7.462
_cell_angle_alpha 89.50
_cell_angle_beta 120.20
_cell_angle_gamma 120.38
_symmetry_space_group_name_H-M 'P 1'
_symmetry_Int_Tables_number 1
loop_
_symmetry_equiv_pos_as_xyz
'x,y,z'
loop_
_atom_site_label
_atom_site_fract_x
_atom_site_fract_y
_atom_site_fract_z
Au1 0.250 0.250 0.000
Au2 0.250 0.750 0.500
K1 0.748 0.748 0.000
K2 0.248 0.725 0.024
K3 0.248 0.272 0.477
K4 0.748 0.248 0.500
K5 0.795 0.772 0.523
K6 0.701 0.225 0.976
O1 0.749 0.999 0.250
O2 0.749 0.499 0.750
# Space group = Ima2
# Total energy = -3.06 eV/atom



(13)
# KAuO2 (PBE-GGA, relaxed)
data_KAuO2
_chemical_formula_sum 'K2 Au2 O4'
_cell_length_a 9.028
_cell_length_b 9.028
_cell_length_c 4.072
_cell_angle_alpha 90.00
_cell_angle_beta 90.00
_cell_angle_gamma 149.65
_symmetry_space_group_name_H-M 'P 1'
_symmetry_Int_Tables_number 1
loop_
_symmetry_equiv_pos_as_xyz
'x,y,z'
loop_
_atom_site_label
_atom_site_fract_x
_atom_site_fract_y
_atom_site_fract_z
Au1 0.724 0.276 0.500
Au2 0.276 0.724 0.500
K1 0.909 0.091 0.500
K2 0.091 0.909 0.500
O1 0.561 0.439 0.162
O2 0.439 0.561 0.162
O3 0.561 0.439 0.838
O4 0.439 0.561 0.838
# Space group = Cmmm
# Total energy = -3.84 eV/atom



(14)
# K3AuO (PBE-GGA, relaxed)
data_K3AuO
_chemical_formula_sum 'K3 Au1 O1'
_cell_length_a 5.277
_cell_length_b 5.264
_cell_length_c 5.264
_cell_angle_alpha 90.52
_cell_angle_beta 90.00
_cell_angle_gamma 90.00
_symmetry_space_group_name_H-M 'P 1'
_symmetry_Int_Tables_number 1
loop_
_symmetry_equiv_pos_as_xyz
'x,y,z'
loop_
_atom_site_label
_atom_site_fract_x
_atom_site_fract_y
_atom_site_fract_z
Au1 0.000 0.519 0.519
K1 0.500 0.522 0.022
K2 0.000 0.023 0.023
K3 0.500 0.022 0.522
O1 0.500 0.022 0.022
# Space group = Amm2
# Total energy = -3.06 eV/atom



(15)
# K2AuO (PBE-GGA, relaxed)
data_K2AuO
_chemical_formula_sum 'K4 Au2 O2'
_cell_length_a 10.299
_cell_length_b 10.299
_cell_length_c 7.120
_cell_angle_alpha 90.00
_cell_angle_beta 90.00
_cell_angle_gamma 157.92
_symmetry_space_group_name_H-M 'P 1'
_symmetry_Int_Tables_number 1
loop_
_symmetry_equiv_pos_as_xyz
'x,y,z'
loop_
_atom_site_label
_atom_site_fract_x
_atom_site_fract_y
_atom_site_fract_z
Au1 0.705 0.295 0.500
Au2 0.295 0.705 0.500
K1 0.900 0.100 0.271
K2 0.100 0.900 0.271
K3 0.900 0.100 0.729
K4 0.100 0.900 0.729
O1 0.599 0.401 0.500
O2 0.401 0.599 0.500
# Space group = Cmmm
# Total energy = -3.14 eV/atom



(16)
# KOsAuO3 (PBE-GGA, relaxed)
data_KOsAuO3
_chemical_formula_sum 'K4 Os4 Au4 O12'
_cell_length_a 3.151
_cell_length_b 10.680
_cell_length_c 11.554
_cell_angle_alpha 90.00
_cell_angle_beta 90.00
_cell_angle_gamma 90.00
_symmetry_space_group_name_H-M 'P 1'
_symmetry_Int_Tables_number 1
loop_
_symmetry_equiv_pos_as_xyz
'x,y,z'
loop_
_atom_site_label
_atom_site_fract_x
_atom_site_fract_y
_atom_site_fract_z
Au1 0.750 0.406 0.035
Au2 0.250 0.906 0.465
Au3 0.750 0.094 0.535
Au4 0.250 0.594 0.965
K1 0.250 0.602 0.246
K2 0.750 0.102 0.254
K3 0.250 0.898 0.746
K4 0.750 0.398 0.754
O1 0.750 0.199 0.035
O2 0.250 0.989 0.089
O3 0.750 0.784 0.177
O4 0.250 0.284 0.323
O5 0.750 0.489 0.411
O6 0.250 0.699 0.465
O7 0.750 0.301 0.535
O8 0.250 0.511 0.589
O9 0.750 0.716 0.677
O10 0.250 0.216 0.823
O11 0.750 0.011 0.911
O12 0.250 0.801 0.965
Os1 0.750 0.876 0.047
Os2 0.250 0.376 0.453
Os3 0.750 0.624 0.547
Os4 0.250 0.124 0.953
# Space group = Pnma
# Total energy = -5.89 eV/atom



(17)
# KPAuO (PBE-GGA, relaxed)
data_KPAuO
_chemical_formula_sum 'K2 P2 Au2 O2'
_cell_length_a 4.310
_cell_length_b 4.310
_cell_length_c 10.065
_cell_angle_alpha 90.00
_cell_angle_beta 90.00
_cell_angle_gamma 90.00
_symmetry_space_group_name_H-M 'P 1'
_symmetry_Int_Tables_number 1
loop_
_symmetry_equiv_pos_as_xyz
'x,y,z'
loop_
_atom_site_label
_atom_site_fract_x
_atom_site_fract_y
_atom_site_fract_z
Au1 0.250 0.250 0.263
Au2 0.750 0.750 0.737
K1 0.750 0.250 0.500
K2 0.250 0.750 0.500
O1 0.750 0.250 0.000
O2 0.250 0.750 0.000
P1 0.250 0.250 0.025
P2 0.750 0.750 0.975
# Space group = P4/nmm
# Energy above the lowest structure with this stoichiometry = 668 meV/atom



(18)
# KPAuO (PBE-GGA, relaxed)
data_KPAuO
_chemical_formula_sum 'K2 P2 Au2 O2'
_cell_length_a 3.898
_cell_length_b 5.673
_cell_length_c 7.799
_cell_angle_alpha 90.00
_cell_angle_beta 90.00
_cell_angle_gamma 90.00
_symmetry_space_group_name_H-M 'P 1'
_symmetry_Int_Tables_number 1
loop_
_symmetry_equiv_pos_as_xyz
'x,y,z'
loop_
_atom_site_label
_atom_site_fract_x
_atom_site_fract_y
_atom_site_fract_z
Au1 0.000 0.594 0.462
Au2 0.000 0.406 0.962
K1 0.500 0.867 0.105
K2 0.500 0.133 0.605
O1 0.500 0.695 0.431
O2 0.500 0.305 0.931
P1 0.000 0.285 0.256
P2 0.000 0.715 0.756
# Space group = Pmc2_1
# Energy above the lowest structure with this stoichiometry = 375 meV/atom



(19)
# KPAuO (PBE-GGA, relaxed)
data_KPAuO
_chemical_formula_sum 'K2 P2 Au2 O2'
_cell_length_a 4.639
_cell_length_b 4.639
_cell_length_c 6.966
_cell_angle_alpha 90.00
_cell_angle_beta 90.00
_cell_angle_gamma 90.00
_symmetry_space_group_name_H-M 'P 1'
_symmetry_Int_Tables_number 1
loop_
_symmetry_equiv_pos_as_xyz
'x,y,z'
loop_
_atom_site_label
_atom_site_fract_x
_atom_site_fract_y
_atom_site_fract_z
Au1 0.000 0.000 0.500
Au2 0.500 0.500 0.500
K1 0.000 0.500 0.133
K2 0.500 0.000 0.867
O1 0.000 0.000 0.000
O2 0.500 0.500 0.000
P1 0.500 0.000 0.344
P2 0.000 0.500 0.656
# Space group = P4/nmm
# Energy above the lowest structure with this stoichiometry = 565 meV/atom



(20)
# KPAuO (PBE-GGA, relaxed)
data_KPAuO
_chemical_formula_sum 'K2 P2 Au2 O2'
_cell_length_a 4.477
_cell_length_b 4.477
_cell_length_c 8.348
_cell_angle_alpha 90.00
_cell_angle_beta 90.00
_cell_angle_gamma 90.00
_symmetry_space_group_name_H-M 'P 1'
_symmetry_Int_Tables_number 1
loop_
_symmetry_equiv_pos_as_xyz
'x,y,z'
loop_
_atom_site_label
_atom_site_fract_x
_atom_site_fract_y
_atom_site_fract_z
Au1 0.750 0.250 0.500
Au2 0.250 0.750 0.500
K1 0.250 0.250 0.144
K2 0.750 0.750 0.856
O1 0.750 0.250 0.000
O2 0.250 0.750 0.000
P1 0.750 0.750 0.363
P2 0.250 0.250 0.637
# Space group = P4/nmm
# Energy above the lowest structure with this stoichiometry = 568 meV/atom



(21)
# KPAuO (PBE-GGA, relaxed)
data_KPAuO
_chemical_formula_sum 'K2 P2 Au2 O2'
_cell_length_a 3.433
_cell_length_b 10.595
_cell_length_c 4.359
_cell_angle_alpha 90.00
_cell_angle_beta 90.00
_cell_angle_gamma 90.00
_symmetry_space_group_name_H-M 'P 1'
_symmetry_Int_Tables_number 1
loop_
_symmetry_equiv_pos_as_xyz
'x,y,z'
loop_
_atom_site_label
_atom_site_fract_x
_atom_site_fract_y
_atom_site_fract_z
Au1 0.000 0.809 0.444
Au2 0.000 0.191 0.944
K1 0.500 0.397 0.424
K2 0.500 0.603 0.924
O1 0.000 0.622 0.420
O2 0.000 0.378 0.920
P1 0.500 0.961 0.466
P2 0.500 0.039 0.966
# Space group = Pmc2_1
# Energy above the lowest structure with this stoichiometry = 0 meV/atom



(22)
# KPbAu3O4 (PBE-GGA, relaxed)
data_KPbAu3O4
_chemical_formula_sum 'K1 Pb1 Au3 O4'
_cell_length_a 5.802
_cell_length_b 5.802
_cell_length_c 5.802
_cell_angle_alpha 90.00
_cell_angle_beta 90.00
_cell_angle_gamma 90.00
_symmetry_space_group_name_H-M 'P 1'
_symmetry_Int_Tables_number 1
loop_
_symmetry_equiv_pos_as_xyz
'x,y,z'
loop_
_atom_site_label
_atom_site_fract_x
_atom_site_fract_y
_atom_site_fract_z
Au1 0.500 0.500 0.000
Au2 0.500 0.000 0.500
Au3 0.000 0.500 0.500
K1 0.000 0.000 0.000
O1 0.285 0.285 0.285
O2 0.715 0.715 0.285
O3 0.715 0.285 0.715
O4 0.285 0.715 0.715
Pb1 0.500 0.500 0.500
# Space group = P-43m
# Total energy = -3.79 eV/atom